Record 1
## AcPmPr6Y2 (PBE)

Data for a geometry-optimized AcPmPr6Y2 structure.

Cell lengths 9.113, 9.113, 9.863 Å; angles 93.07, 93.07, 116.23 degrees
Element x y z (fractional)
1 Ac 0.036 0.964 0.750
2 Ac 0.964 0.036 0.250
3 Pm 0.409 0.591 0.250
4 Pm 0.591 0.409 0.750
5 Pr 0.006 0.550 0.680
6 Pr 0.110 0.755 0.057
7 Pr 0.245 0.890 0.443
8 Pr 0.295 0.520 0.882
9 Pr 0.450 0.994 0.820
10 Pr 0.480 0.705 0.618
11 Pr 0.520 0.295 0.382
12 Pr 0.550 0.006 0.180
13 Pr 0.705 0.480 0.118
14 Pr 0.755 0.110 0.557
15 Pr 0.890 0.245 0.943
16 Pr 0.994 0.450 0.320
17 Y 0.204 0.303 0.551
18 Y 0.303 0.204 0.051
19 Y 0.697 0.796 0.949
20 Y 0.796 0.697 0.449

Properties
ρ (g/cm3): 6.34
Formation energy from the elements (eV/atom): 0.115
M_tot (μB per atom): 0.00

---

Record 2
## CsHfNb2O8 (PBE)

Data for a geometry-optimized CsHfNb2O8 structure.

Cell lengths 6.016, 6.016, 8.335 Å; angles 90.00, 90.00, 120.00 degrees
Element x y z (fractional)
1 Cs 0.000 0.000 0.000
2 Hf 0.000 0.000 0.500
3 Nb 0.333 0.667 0.716
4 Nb 0.667 0.333 0.284
5 O 0.161 0.321 0.647
6 O 0.161 0.839 0.647
7 O 0.321 0.161 0.353
8 O 0.333 0.667 0.935
9 O 0.667 0.333 0.065
10 O 0.679 0.839 0.647
11 O 0.839 0.161 0.353
12 O 0.839 0.679 0.353

Properties
ρ (g/cm3): 3.97
M_tot (μB per atom): 0.09
Formation energy from raw total energies (eV/f.u.): -30.4

---

Record 3
## Rb2AlHI6 (PBE)

Data for a geometry-optimized Rb2AlHI6 structure.

Cell lengths 8.343, 8.343, 8.343 Å; angles 125.12, 125.12, 81.35 degrees
Element x y z (fractional)
1 Rb 0.250 0.750 0.500
2 Rb 0.750 0.250 0.500
3 Al 0.000 0.000 0.000
4 H 0.500 0.500 0.000
5 I 0.219 0.219 0.000
6 I 0.258 0.258 0.516
7 I 0.258 0.742 0.000
8 I 0.742 0.258 0.000
9 I 0.742 0.742 0.484
10 I 0.781 0.781 0.000

Properties
ρ (g/cm3): 4.26
VASP energy (Ry per atom): -0.179
M_tot (μB per atom): 0.01

---

Record 4
## La4AlGaO (PBE)

Data for a geometry-optimized La4AlGaO structure.

Cell lengths 8.964, 8.964, 6.920 Å; angles 90.00, 90.00, 134.70 degrees
Element x y z (fractional)
1 La 0.000 0.500 0.000
2 La 0.000 0.500 0.500
3 La 0.070 0.930 0.750
4 La 0.424 0.576 0.750
5 La 0.500 0.000 0.000
6 La 0.500 0.000 0.500
7 La 0.576 0.424 0.250
8 La 0.930 0.070 0.250
9 Al 0.385 0.615 0.250
10 Al 0.615 0.385 0.750
11 Ga 0.117 0.883 0.250
12 Ga 0.883 0.117 0.750
13 O 0.250 0.750 0.750
14 O 0.750 0.250 0.250

Properties
ρ (g/cm3): 5.62
M_tot (μB per atom): 0.00
Formation energy from raw total energies (eV/f.u.): -7.2

---

Record 5
## Zn2SiTe (PBE)

Data for a geometry-optimized Zn2SiTe structure.

Cell lengths 6.831, 6.831, 6.831 Å; angles 90.00, 90.00, 90.00 degrees
Element x y z (fractional)
1 Zn 0.000 0.000 0.000
2 Zn 0.000 0.500 0.500
3 Zn 0.250 0.250 0.250
4 Zn 0.250 0.750 0.750
5 Zn 0.500 0.000 0.500
6 Zn 0.500 0.500 0.000
7 Zn 0.750 0.250 0.750
8 Zn 0.750 0.750 0.250
9 Si 0.000 0.000 0.500
10 Si 0.000 0.500 0.000
11 Si 0.500 0.000 0.000
12 Si 0.500 0.500 0.500
13 Te 0.250 0.250 0.750
14 Te 0.250 0.750 0.250
15 Te 0.750 0.250 0.250
16 Te 0.750 0.750 0.750

Properties
ρ (g/cm3): 5.97
E above lowest polymorph (meV per atom): 396.6
M_tot (μB per atom): 0.00
Formation energy from raw total energies (eV/f.u.): 1.9

---

Record 6
## Mg2Fe2Si (PBE)

Data for a geometry-optimized Mg2Fe2Si structure.

Cell lengths 5.831, 5.831, 4.280 Å; angles 90.00, 90.00, 90.00 degrees
Element x y z (fractional)
1 Mg 0.171 0.329 0.000
2 Mg 0.329 0.829 0.000
3 Mg 0.671 0.171 0.000
4 Mg 0.829 0.671 0.000
5 Fe 0.134 0.634 0.500
6 Fe 0.366 0.134 0.500
7 Fe 0.634 0.866 0.500
8 Fe 0.866 0.366 0.500
9 Si 0.000 0.000 0.500
10 Si 0.500 0.500 0.500

Properties
ρ (g/cm3): 4.30
M_tot (μB per atom): 0.23
Formation energy from raw total energies (eV/f.u.): -0.4

---

Record 7
## MnCo2PtC (PBE)

Data for a geometry-optimized MnCo2PtC structure.

Cell lengths 3.811, 3.811, 3.804 Å; angles 90.00, 90.00, 90.00 degrees
Element x y z (fractional)
1 Mn 0.000 0.000 0.000
2 Co 0.000 0.500 0.500
3 Co 0.500 0.000 0.500
4 Pt 0.500 0.500 0.000
5 C 0.000 0.000 0.500

Properties
ρ (g/cm3): 11.41
Formation energy from the elements (eV/atom): 0.140
M_tot (μB per atom): 0.50

---

Record 8
## SrY3Ti (PBE)

Data for a geometry-optimized SrY3Ti structure.

Cell lengths 5.517, 5.517, 5.517 Å; angles 90.00, 90.00, 90.00 degrees
Element x y z (fractional)
1 Sr 0.000 0.000 0.000
2 Y 0.000 0.000 0.500
3 Y 0.000 0.500 0.000
4 Y 0.500 0.000 0.000
5 Ti 0.500 0.500 0.500

Properties
ρ (g/cm3): 3.98
E above lowest polymorph (meV per atom): 1125.8
Formation energy from the elements (eV/atom): 1.503
M_tot (μB per atom): 0.15